The following is a DFT calculation (PBE) of a relaxed structure of Al4Ag.

extended XYZ file:
```
5
Lattice="10.0172 -0.0311 -0.0318 -0.4151 2.8851 0.0000 -0.4151 -0.0597 2.8845" Properties=species:S:1:pos:R:3 pbc="T T T"
Al 5.3290 2.2392 2.2860
Al 7.6526 1.1011 1.1241
Al 3.8579 0.5551 0.5667
Al 1.5343 1.6932 1.7286
Ag 0.0000 0.0000 0.0000
```

Summary:
The relative energy among the computed polymorphs is 6 meV per atom. The value obtained for the total energy is -0.262 Ry/atom. The calculation puts the total moment at 0.00 μB/cell. The value obtained for the volume is 83 Å³/cell. For the formation enthalpy at 0 K, the calculation gives 0.0 eV per formula unit.

The following is a DFT calculation (PBE) of a relaxed structure of BeCoCu2I.

extended XYZ file:
```
5
Lattice="4.8858 0.0000 0.0000 0.0000 4.5959 0.0000 0.0000 0.0000 4.8858" Properties=species:S:1:pos:R:3 pbc="T T T"
Co 0.0000 2.2980 0.0000
Be 2.4429 2.2980 2.4429
Cu 0.0000 0.0000 2.4429
Cu 2.4429 0.0000 0.0000
I 0.0000 0.0000 0.0000
```

Summary:
The value obtained for the total energy is -0.184 Ry/atom. The calculation puts the total moment at 0.28 μB/cell. The value obtained for the volume is 110 Å³/cell.

The following is a DFT calculation (PBE) of a relaxed structure of CaPd2F8.

extended XYZ file:
```
11
Lattice="4.5267 0.0265 0.0273 -0.0128 6.3342 -3.5796 0.1145 -0.7147 6.1264" Properties=species:S:1:pos:R:3 pbc="T T T"
F 3.4048 5.4421 -1.7677
F 1.2437 0.9326 1.6482
F 1.1336 3.6155 -1.0044
F 3.3848 4.7134 0.9258
F 3.4149 2.0278 0.1678
F 1.2236 0.2039 4.3418
F 1.2136 3.6182 2.4063
F 3.4948 2.0305 3.5783
Pd 3.4007 3.7536 -0.7671
Pd 1.2278 1.8924 3.3411
Ca 0.1145 -0.7147 6.1263
```

Summary:
The value obtained for the total energy is -0.325 Ry/atom. The calculation puts the total moment at 0.48 μB/cell. The value obtained for the volume is 164 Å³/cell.

Question: What is the total moment in the second record?
Answer: 0.28 μB/cell

Question: The lowest total moment belongs to which entry?
Answer: Al4Ag

Question: What is the total moment in the third record?
Answer: 0.48 μB/cell

Question: What is the total moment in the first record?
Answer: 0.00 μB/cell